Below is crystalline CsCa3Ag at its relaxed geometry, with properties calculated at the PBE level.

- Calculated density: 3042 kg/m3
- Calculated volume: 197.0 Å³/cell
- Uncorrected energy: -0.7316 eV/atom
- Symmetry: Pm-3m, No. 221
- Distance to the lowest polymorph of the same formula: 1193.4 meV per atom
- Energy of formation from the pure elements: 1.210 eV per atom

Cell lengths 5.8190, 5.8190, 5.8190 Å; angles 90.00, 90.00, 90.00 degrees
Closest atoms and distances in Å follow each position.
Fractional coordinates of all 5 atoms:
Cs  0.0000  0.0000  0.0000  6 Ca 2.91
Ag  0.5000  0.5000  0.5000  12 Ca 4.11
Ca  0.5000  0.0000  0.0000  2 Cs 2.91
Ca  0.0000  0.5000  0.0000  2 Cs 2.91
Ca  0.0000  0.0000  0.5000  2 Cs 2.91